Record 1
Computed, not measured: a geometry-optimized Zr2NiIN structure at the PBE level of DFT.

The structure in extended XYZ format:
```
5
Lattice="5.2687 0.0000 0.0000 0.0000 4.3660 0.0000 0.0000 0.0000 5.2687" Properties=species:S:1:pos:R:3 pbc="T T T"
N 2.6344 2.1830 2.6344
Zr 0.0000 0.0000 2.6344
Ni 0.0000 2.1830 0.0000
I 0.0000 0.0000 0.0000
Zr 2.6344 0.0000 0.0000
```

ΔE_f (raw)	1817	meV/atom

Record 2
Computed, not measured: a geometry-optimized SmPtAu2 structure at the PBE level of DFT.

The structure in extended XYZ format:
```
8
Lattice="-1.9177 2.5188 2.9439 -3.5361 -2.4009 -3.4126 -0.5444 -6.0418 4.8148" Properties=species:S:1:pos:R:3 pbc="T T T"
Pt -2.4400 -5.0528 2.7270
Sm -5.2433 -4.2582 3.4071
Pt -3.5582 -0.8711 1.6190
Au -3.5555 -3.5128 0.7038
Au -2.4427 -2.4111 3.6423
Au -3.3458 -1.1855 -1.1509
Au -2.6524 -4.7383 5.4969
Sm -0.7549 -1.6656 0.9390
```

excess energy over the best structure of this formula in the dataset	0.0397	eV/atom
energy of formation from the pure elements	-2.9	eV per formula unit

For each record above, in turn, the calculated electronic total energy values are -4.733; -5.054 eV/atom.